# CaLuNiAg, optimized geometry, DFT PBE-GGA
data_CaLuNiAg
_space_group_name_H-M_alt 'P 1'
_space_group_IT_number 1
_cell_length_a 4.9390
_cell_length_b 4.9390
_cell_length_c 4.9390
_cell_angle_alpha 60.00
_cell_angle_beta 60.00
_cell_angle_gamma 60.00
loop_
_space_group_symop_operation_xyz
'x,y,z'
loop_
_atom_site_label
_atom_site_type_symbol
_atom_site_fract_x
_atom_site_fract_y
_atom_site_fract_z
Ni1 Ni 0.7500 0.7500 0.7500
Ag1 Ag 0.2500 0.2500 0.2500
Ca1 Ca 0.0000 0.0000 0.0000
Lu1 Lu 0.5000 0.5000 0.5000
# Electronic total energy, eV per atom: -4.00
# Space-group type: F-43m (216)



# LaMgZn2B, optimized geometry, DFT PBE-GGA
data_LaMgZn2B
_space_group_name_H-M_alt 'P 1'
_space_group_IT_number 1
_cell_length_a 5.6898
_cell_length_b 6.3379
_cell_length_c 5.6898
_cell_angle_alpha 90.00
_cell_angle_beta 90.00
_cell_angle_gamma 90.00
loop_
_space_group_symop_operation_xyz
'x,y,z'
loop_
_atom_site_label
_atom_site_type_symbol
_atom_site_fract_x
_atom_site_fract_y
_atom_site_fract_z
B1 B 0.5000 0.5000 0.5000
Zn1 Zn 0.5000 0.0000 0.0000
Zn2 Zn 0.0000 0.0000 0.5000
La1 La 0.0000 0.0000 0.0000
Mg1 Mg 0.0000 0.5000 0.0000
# Electronic total energy, eV per atom: -1.27
# Space-group type: P4/mmm (123)



# NaMo2N, optimized geometry, DFT PBE-GGA
data_NaMo2N
_space_group_name_H-M_alt 'P 1'
_space_group_IT_number 1
_cell_length_a 6.3128
_cell_length_b 6.3128
_cell_length_c 6.0024
_cell_angle_alpha 58.27
_cell_angle_beta 58.27
_cell_angle_gamma 90.00
loop_
_space_group_symop_operation_xyz
'x,y,z'
loop_
_atom_site_label
_atom_site_type_symbol
_atom_site_fract_x
_atom_site_fract_y
_atom_site_fract_z
Na1 Na 0.7500 0.2500 0.5000
Mo1 Mo 0.3750 0.5536 0.7500
Mo2 Mo 0.8750 0.6964 0.7500
Na2 Na 0.0000 0.0000 0.0000
N1 N 0.2500 0.7500 0.5000
N2 N 0.5000 0.5000 0.0000
Mo3 Mo 0.3036 0.6250 0.2500
Mo4 Mo 0.4464 0.1250 0.2500
# Energy relative to the elements, uncorrected, eV per formula unit: 3.0
# Space-group type: I-42d (122)



# NdU2F11, optimized geometry, DFT PBE-GGA
data_NdU2F11
_space_group_name_H-M_alt 'P 1'
_space_group_IT_number 1
_cell_length_a 8.4868
_cell_length_b 8.8216
_cell_length_c 8.8216
_cell_angle_alpha 73.58
_cell_angle_beta 61.25
_cell_angle_gamma 61.25
loop_
_space_group_symop_operation_xyz
'x,y,z'
loop_
_atom_site_label
_atom_site_type_symbol
_atom_site_fract_x
_atom_site_fract_y
_atom_site_fract_z
U1 U 0.3517 0.3179 0.6821
Nd1 Nd 0.2500 0.2500 0.2500
F1 F 0.9142 0.4369 0.2919
Nd2 Nd 0.7500 0.7500 0.7500
F2 F 0.3571 0.2919 0.4369
F3 F 0.5464 0.0380 0.6833
F4 F 0.3721 0.7146 0.2854
F5 F 0.1279 0.2146 0.7854
F6 F 0.5858 0.2081 0.0631
F7 F 0.8721 0.7854 0.2146
F8 F 0.7323 0.6833 0.0380
F9 F 0.7677 0.4620 0.8167
F10 F 0.6279 0.2854 0.7146
F11 F 0.5000 0.5000 0.5000
F12 F 0.0858 0.5631 0.7081
F13 F 0.0464 0.1833 0.5380
U2 U 0.1483 0.8179 0.1821
F14 F 0.4536 0.9620 0.3167
U3 U 0.6483 0.6821 0.3179
F15 F 0.8571 0.9369 0.7919
U4 U 0.8517 0.1821 0.8179
F16 F 0.2677 0.3167 0.9620
F17 F 0.2323 0.5380 0.1833
F18 F 0.4142 0.7919 0.9369
F19 F 0.6429 0.7081 0.5631
F20 F 0.9536 0.8167 0.4620
F21 F 0.0000 0.0000 0.0000
F22 F 0.1429 0.0631 0.2081
# Energy relative to the elements, uncorrected, eV per formula unit: -52.5
# Space-group type: Ibam (72)



# Pm3Zn7Pt2, optimized geometry, DFT PBE-GGA
data_Pm3Zn7Pt2
_space_group_name_H-M_alt 'P 1'
_space_group_IT_number 1
_cell_length_a 5.4926
_cell_length_b 5.4926
_cell_length_c 9.3223
_cell_angle_alpha 72.87
_cell_angle_beta 72.87
_cell_angle_gamma 60.00
loop_
_space_group_symop_operation_xyz
'x,y,z'
loop_
_atom_site_label
_atom_site_type_symbol
_atom_site_fract_x
_atom_site_fract_y
_atom_site_fract_z
Zn1 Zn 0.9189 0.4195 0.2422
Pm1 Pm 0.1483 0.1483 0.5552
Zn2 Zn 0.5805 0.0811 0.7578
Zn3 Zn 0.4195 0.4195 0.2422
Zn4 Zn 0.5805 0.5805 0.7578
Zn5 Zn 0.4195 0.9189 0.2422
Zn6 Zn 0.5000 0.5000 0.5000
Pm2 Pm 0.8517 0.8517 0.4448
Zn7 Zn 0.0811 0.5805 0.7578
Pm3 Pm 0.0000 0.0000 0.0000
Pt1 Pt 0.3338 0.3338 0.9985
Pt2 Pt 0.6662 0.6662 0.0015
# Electronic total energy, eV per atom: -3.42
# Space-group type: R-3m (166)



# CrInSe4, optimized geometry, DFT PBE-GGA
data_CrInSe4
_space_group_name_H-M_alt 'P 1'
_space_group_IT_number 1
_cell_length_a 5.8362
_cell_length_b 5.8362
_cell_length_c 5.8362
_cell_angle_alpha 60.00
_cell_angle_beta 60.00
_cell_angle_gamma 60.00
loop_
_space_group_symop_operation_xyz
'x,y,z'
loop_
_atom_site_label
_atom_site_type_symbol
_atom_site_fract_x
_atom_site_fract_y
_atom_site_fract_z
Se1 Se 0.8737 0.3754 0.3754
Se2 Se 0.3754 0.8737 0.3754
Se3 Se 0.3754 0.3754 0.3754
In1 In 0.0000 0.0000 0.0000
Cr1 Cr 0.7500 0.7500 0.7500
Se4 Se 0.3754 0.3754 0.8737
# Energy relative to the elements, uncorrected, eV per formula unit: 3.1
# Space-group type: F-43m (216)



# LiErPuPt, optimized geometry, DFT PBE-GGA
data_LiErPuPt
_space_group_name_H-M_alt 'P 1'
_space_group_IT_number 1
_cell_length_a 4.9531
_cell_length_b 4.9531
_cell_length_c 4.9531
_cell_angle_alpha 60.00
_cell_angle_beta 60.00
_cell_angle_gamma 60.00
loop_
_space_group_symop_operation_xyz
'x,y,z'
loop_
_atom_site_label
_atom_site_type_symbol
_atom_site_fract_x
_atom_site_fract_y
_atom_site_fract_z
Pt1 Pt 0.7500 0.7500 0.7500
Li1 Li 0.2500 0.2500 0.2500
Er1 Er 0.5000 0.5000 0.5000
Pu1 Pu 0.0000 0.0000 0.0000
# Electronic total energy, eV per atom: -7.19
# Space-group type: F-43m (216)



# CrNiCl6, optimized geometry, DFT PBE-GGA
data_CrNiCl6
_space_group_name_H-M_alt 'P 1'
_space_group_IT_number 1
_cell_length_a 5.7945
_cell_length_b 6.5355
_cell_length_c 6.5355
_cell_angle_alpha 59.99
_cell_angle_beta 90.23
_cell_angle_gamma 89.77
loop_
_space_group_symop_operation_xyz
'x,y,z'
loop_
_atom_site_label
_atom_site_type_symbol
_atom_site_fract_x
_atom_site_fract_y
_atom_site_fract_z
Cl1 Cl 0.2515 0.0207 0.2991
Cl2 Cl 0.7485 0.2991 0.0207
Cl3 Cl 0.2515 0.7424 0.0208
Cl4 Cl 0.7523 0.7424 0.2991
Cl5 Cl 0.2477 0.2991 0.7424
Cl6 Cl 0.7485 0.0208 0.7424
Cr1 Cr 0.0000 0.0207 0.0207
Ni1 Ni 0.5000 0.0208 0.0208
# Energy relative to the elements, uncorrected, eV per formula unit: -6.2
# Space-group type: C2/m (12)